No. 1
A geometry-optimized NbCo6W structure, computed with PBE.

For the spin magnetization, the calculation gives 3.9 μB per cell. The space-group type is No. 65. The energy is -266.07 eV/cell. As for the energy relative to the elements: -0.107 eV per atom.

Unit cell a=6.2695 b=6.2695 c=10.2360 alpha=90.00 beta=90.00 gamma=109.43
Last column: nearest neighbours and their distance in Å.
Positions (direct):
Nb: 0.7485 0.2515 0.0000  12 Co 2.54-2.60
Nb: 0.2515 0.7485 0.0000  12 Co 2.54-2.60
Nb: 0.5000 0.5000 0.7509  12 Co 2.55-2.60
Nb: 0.5000 0.5000 0.2491  12 Co 2.55-2.60
Co: 0.7520 0.2480 0.7462  8 Co 2.52-2.60, 2 W 2.52-2.54, 2 Nb 2.58-2.60
Co: 0.1223 0.3706 0.8728  1 W 2.52, 8 Co 2.54-2.60, 3 Nb 2.56-2.59
Co: 0.8777 0.6294 0.8728  1 W 2.52, 8 Co 2.54-2.60, 3 Nb 2.56-2.59
Co: 0.2480 0.7520 0.7462  8 Co 2.52-2.60, 2 W 2.52-2.54, 2 Nb 2.58-2.60
Co: 0.6294 0.8777 0.8728  1 W 2.52, 8 Co 2.54-2.60, 3 Nb 2.56-2.59
Co: 0.3706 0.1223 0.8728  1 W 2.52, 8 Co 2.54-2.60, 3 Nb 2.56-2.59
Co: 0.5000 0.5000 0.5000  2 W 2.54, 2 Nb 2.57, 8 Co 2.57
Co: 0.8793 0.6273 0.6228  8 Co 2.51-2.58, 3 W 2.54-2.57, 1 Nb 2.60
Co: 0.6273 0.8793 0.6228  8 Co 2.51-2.58, 3 W 2.54-2.57, 1 Nb 2.60
Co: 0.7520 0.2480 0.2538  8 Co 2.52-2.60, 2 W 2.52-2.54, 2 Nb 2.58-2.60
Co: 0.1207 0.3727 0.3772  8 Co 2.51-2.58, 3 W 2.54-2.57, 1 Nb 2.60
Co: 0.8793 0.6273 0.3772  8 Co 2.51-2.58, 3 W 2.54-2.57, 1 Nb 2.60
Co: 0.2480 0.7520 0.2538  8 Co 2.52-2.60, 2 W 2.52-2.54, 2 Nb 2.58-2.60
Co: 0.6273 0.8793 0.3772  8 Co 2.51-2.58, 3 W 2.54-2.57, 1 Nb 2.60
Co: 0.3727 0.1207 0.3772  8 Co 2.51-2.58, 3 W 2.54-2.57, 1 Nb 2.60
Co: 0.5000 0.5000 0.0000  4 Nb 2.54-2.55, 8 Co 2.59
Co: 0.8777 0.6294 0.1272  1 W 2.52, 8 Co 2.54-2.60, 3 Nb 2.56-2.59
Co: 0.6294 0.8777 0.1272  1 W 2.52, 8 Co 2.54-2.60, 3 Nb 2.56-2.59
Co: 0.0000 0.0000 0.5000  8 Co 2.54, 4 W 2.57-2.58
Co: 0.3727 0.1207 0.6228  8 Co 2.51-2.58, 3 W 2.54-2.57, 1 Nb 2.60
Co: 0.1207 0.3727 0.6228  8 Co 2.51-2.58, 3 W 2.54-2.57, 1 Nb 2.60
Co: 0.0000 0.0000 0.0000  2 W 2.55, 8 Co 2.55, 2 Nb 2.57
Co: 0.3706 0.1223 0.1272  1 W 2.52, 8 Co 2.54-2.60, 3 Nb 2.56-2.59
Co: 0.1223 0.3706 0.1272  1 W 2.52, 8 Co 2.54-2.60, 3 Nb 2.56-2.59
W: 0.7481 0.2519 0.5000  12 Co 2.52-2.58
W: 0.2519 0.7481 0.5000  12 Co 2.52-2.58
W: 0.0000 0.0000 0.7512  12 Co 2.52-2.57
W: 0.0000 0.0000 0.2488  12 Co 2.52-2.57

---

No. 2
A geometry-optimized DyNpPa structure, computed with PBE.

For the spin magnetization, the calculation gives 16.9 μB per cell. The space-group type is No. 62. The energy is -104.10 eV/cell. As for the energy relative to the elements: 0.338 eV per atom.

Unit cell a=5.3263 b=6.2828 c=9.2812 alpha=90.00 beta=90.00 gamma=90.00
Last column: nearest neighbours and their distance in Å.
Positions (direct):
Pa: 0.2500 0.1282 0.9358  2 Np 2.64-2.71
Pa: 0.7500 0.3718 0.4358  2 Np 2.64-2.71
Pa: 0.7500 0.8718 0.0642  2 Np 2.64-2.71
Pa: 0.2500 0.6282 0.5642  2 Np 2.64-2.71
Dy: 0.2500 0.5684 0.1834  5 Np 3.26-3.33, 2 Dy 3.38, 4 Pa 3.46-3.60
Dy: 0.7500 0.4316 0.8166  5 Np 3.26-3.33, 2 Dy 3.38, 4 Pa 3.46-3.60
Dy: 0.2500 0.0684 0.3166  5 Np 3.26-3.33, 2 Dy 3.38, 4 Pa 3.46-3.60
Dy: 0.7500 0.9316 0.6834  5 Np 3.26-3.33, 2 Dy 3.38, 4 Pa 3.46-3.60
Np: 0.7500 0.7721 0.3484  2 Pa 2.64-2.71
Np: 0.7500 0.2721 0.1516  2 Pa 2.64-2.71
Np: 0.2500 0.7279 0.8484  2 Pa 2.64-2.71
Np: 0.2500 0.2279 0.6516  2 Pa 2.64-2.71

---

No. 3
A geometry-optimized ScTl2V2 structure, computed with PBE.

For the spin magnetization, the calculation gives 0.0 μB per cell. The space-group type is No. 139. The value obtained for the polymorph energy (0 for the lowest one) is 23 meV/atom. The energy is -27.33 eV/cell. As for the energy relative to the elements: 0.393 eV per atom.

Unit cell a=4.4312 b=4.4312 c=6.2554 alpha=69.26 beta=69.26 gamma=90.00
Last column: nearest neighbours and their distance in Å.
Positions (direct):
Sc: 0.0000 0.0000 0.0000  8 V 3.26, 8 Tl 3.50
Tl: 0.7500 0.2500 0.5000  4 V 2.85, 4 Tl 3.13
Tl: 0.2500 0.7500 0.5000  4 V 2.85, 4 Tl 3.13
V: 0.4157 0.4157 0.1686  1 V 1.83
V: 0.5843 0.5843 0.8314  1 V 1.83

---

No. 4
A geometry-optimized GaSn2RuI structure, computed with PBE.

For the spin magnetization, the calculation gives 1.8 μB per cell. The value obtained for the formation energy without anion corrections is 0.75 eV/atom. The space-group type is No. 123. The value obtained for the polymorph energy (0 for the lowest one) is 965 meV/atom. The energy is -18.13 eV/cell.

Unit cell a=5.4995 b=4.8317 c=5.4995 alpha=90.00 beta=90.00 gamma=90.00
Last column: nearest neighbours and their distance in Å.
Positions (direct):
I: 0.5000 0.5000 0.5000  8 Sn 3.66, 4 Ru 3.89
Ru: 0.0000 0.5000 0.0000  2 Ga 2.42
Sn: 0.0000 0.0000 0.5000  2 Ga 2.75
Sn: 0.5000 0.0000 0.0000  2 Ga 2.75
Ga: 0.0000 0.0000 0.0000  2 Ru 2.42

---

No. 5
A geometry-optimized Er2CdPt9 structure, computed with PBE.

For the spin magnetization, the calculation gives 0.0 μB per cell. The space-group type is No. 123. The energy is -73.68 eV/cell. As for the energy relative to the elements: -0.773 eV per atom.

Unit cell a=4.0840 b=4.0840 c=12.2324 alpha=90.00 beta=90.00 gamma=90.00
Last column: nearest neighbours and their distance in Å.
Positions (direct):
Er: 0.0000 0.0000 0.3311  12 Pt 2.89-2.90
Er: 0.0000 0.0000 0.6689  12 Pt 2.89-2.90
Cd: 0.0000 0.0000 0.0000  12 Pt 2.86-2.89
Pt: 0.5000 0.5000 0.0000  8 Pt 2.86, 4 Cd 2.89
Pt: 0.5000 0.5000 0.3321  4 Er 2.89, 8 Pt 2.90
Pt: 0.5000 0.5000 0.6679  4 Er 2.89, 8 Pt 2.90
Pt: 0.5000 0.0000 0.1642  2 Cd 2.86, 8 Pt 2.86-2.90, 2 Er 2.89
Pt: 0.5000 0.0000 0.5000  8 Pt 2.89-2.90, 4 Er 2.90
Pt: 0.5000 0.0000 0.8358  2 Cd 2.86, 8 Pt 2.86-2.90, 2 Er 2.89
Pt: 0.0000 0.5000 0.1642  8 Pt 2.86-2.90, 2 Cd 2.86, 2 Er 2.89
Pt: 0.0000 0.5000 0.5000  8 Pt 2.89-2.90, 4 Er 2.90
Pt: 0.0000 0.5000 0.8358  8 Pt 2.86-2.90, 2 Cd 2.86, 2 Er 2.89

---

No. 6
A geometry-optimized ScInOs2 structure, computed with PBE.

For the spin magnetization, the calculation gives 0.0 μB per cell. The space-group type is No. 99. The energy is -31.83 eV/cell. As for the energy relative to the elements: -0.074 eV per atom.

Unit cell a=2.9120 b=2.9120 c=8.2680 alpha=90.00 beta=90.00 gamma=90.00
Last column: nearest neighbours and their distance in Å.
Positions (direct):
In: 0.5000 0.5000 0.7752  4 In 2.91, 4 Os 2.94, 4 Sc 3.25
Os: 0.0000 0.0000 0.0282  8 Os 2.63-2.91, 4 In 2.94
Os: 0.5000 0.5000 0.2255  8 Os 2.63-2.91, 4 Sc 2.89
Sc: 0.0000 0.0000 0.4712  4 Os 2.89, 4 Sc 2.91

---

No. 7
A geometry-optimized TaRuO3 structure, computed with PBE.

For the spin magnetization, the calculation gives 3.0 μB per cell. The value obtained for the formation energy without anion corrections is -1.27 eV/atom. The space-group type is No. 221. The energy is -42.34 eV/cell.

Unit cell a=3.9635 b=3.9635 c=3.9635 alpha=90.00 beta=90.00 gamma=90.00
Last column: nearest neighbours and their distance in Å.
Positions (direct):
Ru: 0.5000 0.5000 0.5000  12 O 2.80
O: 0.0000 0.5000 0.0000  2 Ta 1.98
O: 0.0000 0.0000 0.5000  2 Ta 1.98
O: 0.5000 0.0000 0.0000  2 Ta 1.98
Ta: 0.0000 0.0000 0.0000  6 O 1.98

---

No. 8
A geometry-optimized SrCe2PrS4 structure, computed with PBE.

For the spin magnetization, the calculation gives 2.1 μB per cell. The value obtained for the formation energy without anion corrections is -2.01 eV/atom. The space-group type is No. 10. The energy is -50.94 eV/cell.

Unit cell a=4.0848 b=7.1443 c=7.1154 alpha=70.81 beta=90.00 gamma=90.00
Last column: nearest neighbours and their distance in Å.
Positions (direct):
Sr: 0.5000 0.5000 0.0000  6 S 2.94
Ce: 0.0000 0.0000 0.0000  6 S 2.88-2.89
Ce: 0.5000 0.0000 0.5000  6 S 2.87
Pr: 0.0000 0.5000 0.5000  6 S 2.93
S: 0.0000 0.7584 0.7452  3 Ce 2.87-2.89, 1 Pr 2.93, 2 Sr 2.94
S: 0.0000 0.2416 0.2548  3 Ce 2.87-2.89, 1 Pr 2.93, 2 Sr 2.94
S: 0.5000 0.7566 0.2492  3 Ce 2.87-2.88, 2 Pr 2.93, 1 Sr 2.94
S: 0.5000 0.2434 0.7508  3 Ce 2.87-2.88, 2 Pr 2.93, 1 Sr 2.94

---

No. 9
A geometry-optimized Ac3MgF structure, computed with PBE.

For the spin magnetization, the calculation gives 0.0 μB per cell. The value obtained for the formation energy without anion corrections is -0.91 eV/atom. The space-group type is No. 221. The energy is -20.32 eV/cell.

Unit cell a=5.4687 b=5.4687 c=5.4687 alpha=90.00 beta=90.00 gamma=90.00
Last column: nearest neighbours and their distance in Å.
Positions (direct):
Ac: 0.0000 0.5000 0.0000  2 F 2.73
Ac: 0.0000 0.0000 0.5000  2 F 2.73
Ac: 0.5000 0.0000 0.0000  2 F 2.73
Mg: 0.5000 0.5000 0.5000  12 Ac 3.87
F: 0.0000 0.0000 0.0000  6 Ac 2.73

---

No. 10
A geometry-optimized SrCo2As structure, computed with PBE.

For the spin magnetization, the calculation gives 2.1 μB per cell. The space-group type is No. 160. The energy is -21.82 eV/cell. As for the energy relative to the elements: -0.320 eV per atom.

Unit cell a=4.0443 b=4.0443 c=5.9251 alpha=70.07 beta=70.07 gamma=60.00
Last column: nearest neighbours and their distance in Å.
Positions (direct):
As: 0.2997 0.2997 0.1008  6 Co 2.46-2.52
Co: 0.0133 0.0133 0.9599  3 Co 2.34, 3 As 2.46
Co: 0.6905 0.6905 0.9284  3 Co 2.34, 3 As 2.52
Sr: 0.4965 0.4965 0.5109  7 Co 3.17-3.38, 4 As 3.21-3.23

---

No. 11
A geometry-optimized CaIn12Pd4 structure, computed with PBE.

For the spin magnetization, the calculation gives 0.0 μB per cell. The space-group type is No. 204. The energy is -58.90 eV/cell. As for the energy relative to the elements: -0.192 eV per atom.

Unit cell a=8.3382 b=8.3382 c=8.3382 alpha=109.47 beta=109.47 gamma=109.47
Last column: nearest neighbours and their distance in Å.
Positions (direct):
Ca: 0.0000 0.0000 0.0000  12 In 3.59
In: 0.8402 0.3374 0.1776  2 Pd 2.69
In: 0.3374 0.4972 0.1598  2 Pd 2.69
In: 0.8224 0.1598 0.6626  2 Pd 2.69
In: 0.3374 0.1776 0.8402  2 Pd 2.69
In: 0.1776 0.8402 0.3374  2 Pd 2.69
In: 0.6626 0.5028 0.8402  2 Pd 2.69
In: 0.4972 0.1598 0.3374  2 Pd 2.69
In: 0.5028 0.8402 0.6626  2 Pd 2.69
In: 0.6626 0.8224 0.1598  2 Pd 2.69
In: 0.8402 0.6626 0.5028  2 Pd 2.69
In: 0.1598 0.3374 0.4972  2 Pd 2.69
In: 0.1598 0.6626 0.8224  2 Pd 2.69
Pd: 0.0000 0.5000 0.0000  6 In 2.69
Pd: 0.5000 0.0000 0.0000  6 In 2.69
Pd: 0.5000 0.5000 0.5000  6 In 2.69
Pd: 0.0000 0.0000 0.5000  6 In 2.69

---

No. 12
A geometry-optimized LaPuF structure, computed with PBE.

For the spin magnetization, the calculation gives 1.1 μB per cell. The value obtained for the formation energy without anion corrections is -1.64 eV/atom. The space-group type is No. 64. The energy is -104.25 eV/cell.

Unit cell a=5.8104 b=4.6710 c=8.9992 alpha=105.03 beta=90.00 gamma=90.00
Last column: nearest neighbours and their distance in Å.
Positions (direct):
La: 0.5000 0.3500 0.6996  4 F 2.54-2.55
La: 0.0000 0.1500 0.3004  4 F 2.54-2.55
La: 0.5000 0.6500 0.3004  4 F 2.54-2.55
La: 0.0000 0.8500 0.6996  4 F 2.54-2.55
Pu: 0.1954 0.5699 0.0000  3 Pu 2.36-2.42
Pu: 0.3046 0.0699 0.0000  3 Pu 2.36-2.42
Pu: 0.8046 0.4301 0.0000  3 Pu 2.36-2.42
Pu: 0.6954 0.9301 0.0000  3 Pu 2.36-2.42
F: 0.2503 0.0008 0.5000  2 F 2.34, 4 La 2.54-2.55
F: 0.2497 0.5008 0.5000  2 F 2.34, 4 La 2.54-2.55
F: 0.7497 0.9992 0.5000  2 F 2.34, 4 La 2.54-2.55
F: 0.7503 0.4992 0.5000  2 F 2.34, 4 La 2.54-2.55